# CaTl2Fe

Crystalline CaTl2Fe at its relaxed geometry (PBE, Alexandria). Values from VASP.

Formation enthalpy at 0 K, meV per atom: 286
Raw total energy, eV/atom: -3.513
Total magnetization, μB/atom: 0.617

Structure (Quantum ESPRESSO input):
```
&SYSTEM
  ibrav = 0, nat = 4, ntyp = 3
/
ATOMIC_SPECIES
Tl 204.38 Tl.upf
Fe 55.84 Fe.upf
Ca 40.08 Ca.upf
CELL_PARAMETERS angstrom
-0.515 -3.575 -0.205
0.877 -0.327 3.495
-7.354 0.949 1.934
ATOMIC_POSITIONS crystal
Tl 0.500 0.500 0.231
Fe 0.500 0.500 0.788
Ca 0.000 0.000 0.534
Tl 0.000 0.000 0.946
```

# PmHoMgRu

Crystalline PmHoMgRu at its relaxed geometry (PBE, Alexandria). Values from VASP.

Formation enthalpy at 0 K, meV per atom: -235
Raw total energy, eV/atom: -5.285
Total magnetization, μB/atom: 0.000
E above lowest polymorph, meV/atom: 0.0

Structure (Quantum ESPRESSO input):
```
&SYSTEM
  ibrav = 0, nat = 4, ntyp = 4
/
ATOMIC_SPECIES
Ru 101.07 Ru.upf
Ho 164.93 Ho.upf
Pm 145.00 Pm.upf
Mg 24.30 Mg.upf
CELL_PARAMETERS angstrom
3.431 0.000 0.000
0.000 3.431 0.000
0.000 0.000 8.522
ATOMIC_POSITIONS crystal
Ru 0.000 0.000 0.562
Ho 0.500 0.500 0.374
Pm 0.500 0.500 0.769
Mg 0.000 0.000 0.079
```

# PmErCo2

Crystalline PmErCo2 at its relaxed geometry (PBE, Alexandria). Values from VASP.

Formation enthalpy at 0 K, meV per atom: -158
Raw total energy, eV/atom: -6.039
Total magnetization, μB/atom: 0.063
E above lowest polymorph, meV/atom: 0.0

Structure (Quantum ESPRESSO input):
```
&SYSTEM
  ibrav = 0, nat = 8, ntyp = 3
/
ATOMIC_SPECIES
Co 58.93 Co.upf
Pm 145.00 Pm.upf
Er 167.26 Er.upf
CELL_PARAMETERS angstrom
3.873 0.000 0.000
0.000 5.614 0.000
0.000 0.000 7.554
ATOMIC_POSITIONS crystal
Co 0.500 0.166 0.974
Pm 0.000 0.132 0.676
Pm 0.000 0.868 0.176
Co 0.500 0.834 0.474
Er 0.500 0.369 0.320
Co 0.000 0.362 0.030
Co 0.000 0.638 0.530
Er 0.500 0.631 0.820
```

# LaCuNi

Crystalline LaCuNi at its relaxed geometry (PBE, Alexandria). Values from VASP.

Formation enthalpy at 0 K, meV per atom: -80
Raw total energy, eV/atom: -5.015
Total magnetization, μB/atom: 0.000

Structure (Quantum ESPRESSO input):
```
&SYSTEM
  ibrav = 0, nat = 3, ntyp = 3
/
ATOMIC_SPECIES
La 138.91 La.upf
Cu 63.55 Cu.upf
Ni 58.69 Ni.upf
CELL_PARAMETERS angstrom
-3.036 -3.305 -0.441
1.312 -4.309 0.210
-1.117 -2.526 3.565
ATOMIC_POSITIONS crystal
La 0.500 0.500 0.500
Cu 0.000 0.000 0.000
Ni 0.750 0.750 0.750
```

# CsKNa2Hg

Crystalline CsKNa2Hg at its relaxed geometry (PBE, Alexandria). Values from VASP.

Formation enthalpy at 0 K, meV per atom: -74
Raw total energy, eV/atom: -1.052
Total magnetization, μB/atom: 0.000
E above lowest polymorph, meV/atom: 0.0

Structure (Quantum ESPRESSO input):
```
&SYSTEM
  ibrav = 0, nat = 10, ntyp = 4
/
ATOMIC_SPECIES
Na 22.99 Na.upf
Cs 132.91 Cs.upf
K 39.10 K.upf
Hg 200.59 Hg.upf
CELL_PARAMETERS angstrom
4.626 0.000 0.000
0.000 9.929 -0.043
0.000 -2.491 11.894
ATOMIC_POSITIONS crystal
Na 0.750 0.911 0.410
Cs 0.250 0.175 0.227
K 0.250 0.333 0.878
Hg 0.250 0.752 0.511
Na 0.750 0.539 0.405
Na 0.250 0.089 0.590
Hg 0.750 0.248 0.489
Na 0.250 0.461 0.595
K 0.750 0.667 0.122
Cs 0.750 0.825 0.773
```

# SrRhSCl2

Crystalline SrRhSCl2 at its relaxed geometry (PBE, Alexandria). Values from VASP.

Uncorrected formation energy, eV per atom: -1.070
Raw total energy, eV/atom: -4.441
Total magnetization, μB/atom: 0.000
E above lowest polymorph, meV/atom: 0.0

Structure (Quantum ESPRESSO input):
```
&SYSTEM
  ibrav = 0, nat = 5, ntyp = 4
/
ATOMIC_SPECIES
Cl 35.45 Cl.upf
Sr 87.62 Sr.upf
S 32.06 S.upf
Rh 102.91 Rh.upf
CELL_PARAMETERS angstrom
4.803 0.000 0.000
0.000 4.803 0.000
0.000 0.000 4.866
ATOMIC_POSITIONS crystal
Cl 0.000 0.500 0.000
Sr 0.500 0.500 0.500
S 0.000 0.000 0.500
Rh 0.000 0.000 0.000
Cl 0.500 0.000 0.000
```

# Li3Dy2HoSe6

Crystalline Li3Dy2HoSe6 at its relaxed geometry (PBE, Alexandria). Values from VASP.

Uncorrected formation energy, eV per atom: -1.698
Raw total energy, eV/atom: -5.067
Total magnetization, μB/atom: 0.000

Structure (Quantum ESPRESSO input):
```
&SYSTEM
  ibrav = 0, nat = 12, ntyp = 4
/
ATOMIC_SPECIES
Li 6.94 Li.upf
Se 78.96 Se.upf
Dy 162.50 Dy.upf
Ho 164.93 Ho.upf
CELL_PARAMETERS angstrom
7.039 -0.001 0.000
-3.519 6.097 0.000
-1.174 -2.033 6.496
ATOMIC_POSITIONS crystal
Li 0.833 0.167 0.500
Se 0.084 0.417 0.253
Se 0.583 0.916 0.747
Li 0.167 0.833 0.500
Dy 0.333 0.667 0.000
Li 0.500 0.500 0.500
Ho 0.000 0.000 0.000
Se 0.417 0.084 0.253
Se 0.248 0.248 0.747
Dy 0.667 0.333 0.000
Se 0.752 0.752 0.253
Se 0.916 0.583 0.747
```

# CaAc2Cd5

Crystalline CaAc2Cd5 at its relaxed geometry (PBE, Alexandria). Values from VASP.

Formation enthalpy at 0 K, meV per atom: -257
Raw total energy, eV/atom: -2.106
Total magnetization, μB/atom: 0.000

Structure (Quantum ESPRESSO input):
```
&SYSTEM
  ibrav = 0, nat = 8, ntyp = 3
/
ATOMIC_SPECIES
Cd 112.41 Cd.upf
Ac 227.00 Ac.upf
Ca 40.08 Ca.upf
CELL_PARAMETERS angstrom
5.409 0.000 0.000
0.000 5.409 0.000
-2.704 -2.704 7.986
ATOMIC_POSITIONS crystal
Cd 0.392 0.892 0.783
Cd 0.892 0.392 0.783
Ac 0.737 0.737 0.474
Cd 0.500 0.500 0.000
Ca 0.000 0.000 0.000
Cd 0.608 0.108 0.217
Cd 0.108 0.608 0.217
Ac 0.263 0.263 0.526
```

# SrHfMn2Mo

Crystalline SrHfMn2Mo at its relaxed geometry (PBE, Alexandria). Values from VASP.

Formation enthalpy at 0 K, meV per atom: 2159
Raw total energy, eV/atom: -6.002
Total magnetization, μB/atom: 1.331

Structure (Quantum ESPRESSO input):
```
&SYSTEM
  ibrav = 0, nat = 5, ntyp = 4
/
ATOMIC_SPECIES
Mn 54.94 Mn.upf
Sr 87.62 Sr.upf
Mo 95.94 Mo.upf
Hf 178.49 Hf.upf
CELL_PARAMETERS angstrom
4.724 0.000 0.000
0.000 4.879 0.000
0.000 0.000 4.724
ATOMIC_POSITIONS crystal
Mn 0.500 0.000 0.000
Sr 0.000 0.000 0.000
Mo 0.000 0.500 0.000
Mn 0.000 0.000 0.500
Hf 0.500 0.500 0.500
```

# Ba12Zn3N5

Crystalline Ba12Zn3N5 at its relaxed geometry (PBE, Alexandria). Values from VASP.

Uncorrected formation energy, eV per atom: -0.178
Raw total energy, eV/atom: -3.604
Total magnetization, μB/atom: 0.103

Structure (Quantum ESPRESSO input):
```
&SYSTEM
  ibrav = 0, nat = 80, ntyp = 3
/
ATOMIC_SPECIES
N 14.01 N.upf
Ba 137.33 Ba.upf
Zn 65.41 Zn.upf
CELL_PARAMETERS angstrom
15.585 0.000 0.000
-5.195 14.694 0.000
-5.195 -7.347 12.725
ATOMIC_POSITIONS crystal
N 0.875 0.625 0.750
Ba 0.303 0.419 0.818
Ba 0.014 0.616 0.697
N 0.000 0.500 0.500
Ba 0.898 0.081 0.884
N 0.125 0.375 0.250
Ba 0.102 0.919 0.116
Ba 0.803 0.486 0.384
Zn 0.375 0.750 0.625
N 0.250 0.375 0.625
Ba 0.419 0.303 0.318
Ba 0.697 0.116 0.014
N 0.500 0.500 0.500
Zn 0.750 0.375 0.125
Ba 0.014 0.398 0.818
N 0.000 0.500 0.000
Ba 0.919 0.818 0.803
N 0.000 0.000 0.500
Ba 0.697 0.581 0.182
Ba 0.303 0.884 0.986
Ba 0.318 0.514 0.398
Ba 0.318 0.803 0.419
N 0.625 0.750 0.875
N 0.375 0.250 0.125
Zn 0.625 0.375 0.750
Zn 0.125 0.250 0.875
Zn 0.375 0.625 0.250
Zn 0.625 0.250 0.375
Ba 0.116 0.697 0.514
Ba 0.384 0.398 0.081
Ba 0.081 0.898 0.384
Zn 0.250 0.125 0.375
Ba 0.419 0.116 0.602
Ba 0.182 0.081 0.697
Ba 0.818 0.919 0.303
N 0.375 0.125 0.750
N 0.250 0.875 0.125
Ba 0.398 0.014 0.318
Ba 0.986 0.384 0.303
N 0.000 0.000 0.000
Ba 0.884 0.581 0.898
N 0.500 0.000 0.500
Ba 0.581 0.884 0.398
N 0.625 0.875 0.250
Ba 0.682 0.486 0.602
N 0.125 0.750 0.375
Ba 0.514 0.318 0.898
Ba 0.682 0.197 0.581
Ba 0.616 0.014 0.197
Ba 0.398 0.384 0.581
Ba 0.884 0.303 0.486
Zn 0.750 0.875 0.625
N 0.500 0.500 0.000
Zn 0.125 0.875 0.750
Ba 0.116 0.419 0.102
N 0.750 0.625 0.375
Ba 0.602 0.616 0.419
N 0.500 0.000 0.000
Ba 0.081 0.182 0.197
Ba 0.919 0.102 0.616
Ba 0.197 0.682 0.081
N 0.750 0.125 0.875
Ba 0.384 0.986 0.803
Ba 0.803 0.318 0.919
N 0.875 0.250 0.625
Ba 0.898 0.818 0.514
Ba 0.616 0.602 0.919
Ba 0.986 0.602 0.182
Zn 0.875 0.750 0.125
Ba 0.182 0.102 0.986
Ba 0.197 0.514 0.616
Ba 0.486 0.682 0.102
Ba 0.581 0.697 0.682
Ba 0.486 0.803 0.884
Zn 0.875 0.125 0.250
Ba 0.602 0.986 0.682
Ba 0.514 0.197 0.116
Ba 0.102 0.182 0.486
Ba 0.818 0.898 0.014
Zn 0.250 0.625 0.875
```

# Pm2ThNi2

Crystalline Pm2ThNi2 at its relaxed geometry (PBE, Alexandria). Values from VASP.

Formation enthalpy at 0 K, meV per atom: -259
Raw total energy, eV/atom: -5.956
Total magnetization, μB/atom: 0.000
E above lowest polymorph, meV/atom: 57.3

Structure (Quantum ESPRESSO input):
```
&SYSTEM
  ibrav = 0, nat = 20, ntyp = 3
/
ATOMIC_SPECIES
Ni 58.69 Ni.upf
Th 232.04 Th.upf
Pm 145.00 Pm.upf
CELL_PARAMETERS angstrom
7.160 0.000 0.138
0.000 6.819 0.000
-0.691 0.000 10.064
ATOMIC_POSITIONS crystal
Ni 0.687 0.050 0.200
Th 0.996 0.814 0.628
Pm 0.846 0.675 0.287
Pm 0.654 0.175 0.713
Th 0.504 0.314 0.372
Pm 0.410 0.241 0.025
Ni 0.179 0.542 0.463
Pm 0.910 0.259 0.025
Pm 0.090 0.741 0.975
Ni 0.187 0.450 0.200
Ni 0.813 0.550 0.800
Ni 0.821 0.458 0.537
Pm 0.346 0.825 0.287
Ni 0.313 0.950 0.800
Ni 0.679 0.958 0.463
Pm 0.590 0.759 0.975
Th 0.004 0.186 0.372
Pm 0.154 0.325 0.713
Th 0.496 0.686 0.628
Ni 0.321 0.042 0.537
```

# Ge3IN

Crystalline Ge3IN at its relaxed geometry (PBE, Alexandria). Values from VASP.

Uncorrected formation energy, eV per atom: 2.326
Raw total energy, eV/atom: -2.419
Total magnetization, μB/atom: 0.000
E above lowest polymorph, meV/atom: 1528.8

Structure (Quantum ESPRESSO input):
```
&SYSTEM
  ibrav = 0, nat = 5, ntyp = 3
/
ATOMIC_SPECIES
Ge 72.64 Ge.upf
N 14.01 N.upf
I 126.90 I.upf
CELL_PARAMETERS angstrom
5.474 0.000 0.000
0.000 5.474 0.000
0.000 0.000 5.474
ATOMIC_POSITIONS crystal
Ge 0.000 0.500 0.000
Ge 0.500 0.000 0.000
N 0.500 0.500 0.500
Ge 0.000 0.000 0.500
I 0.000 0.000 0.000
```